(1)
This record from Alexandria via LeMat-Bulk describes Li2Sb2Te after structural relaxation. The functional is GGA-PBE.

## Properties
**Formation energy from raw total energies**: -0.36 eV/f.u.
**Relative energy among the computed polymorphs**: 199 meV/atom

Unit cell a=4.7328 b=4.7328 c=11.2152 alpha=90.00 beta=90.00 gamma=90.00
Closest atoms and distances in Å follow each position.
Space group I4/mmm (No. 139)
Inequivalent atoms, fractional coordinates:
Li (0.0000, 0.5000, 0.2500) (multiplicity 4)  4 Sb 2.77
Sb (0.0000, 0.0000, 0.1211) (multiplicity 4)  1 Sb 2.72, 4 Li 2.77
Te (0.0000, 0.0000, 0.5000) (multiplicity 2)  8 Sb 3.61, 8 Li 3.67

***

(2)
This record from Alexandria via LeMat-Bulk describes Pm4Ho3Tl4 after structural relaxation. The functional is GGA-PBE.

## Properties
**Energy of formation from the pure elements**: -242 meV/atom

Unit cell a=3.6565 b=9.4504 c=19.3298 alpha=90.00 beta=90.00 gamma=90.00
Closest atoms and distances in Å follow each position.
Space group Immm (No. 71)
Inequivalent atoms, fractional coordinates:
Pm (0.0000, 0.1769, 0.1615) (multiplicity 8)  4 Tl 3.27-3.31, 3 Pm 3.34-3.66
Ho (0.0000, 0.0000, 0.4060) (multiplicity 4)  6 Tl 3.12-3.31
Ho (0.0000, 0.5000, 0.5000) (multiplicity 2)  4 Tl 3.22
Tl (0.0000, 0.2802, 0.0000) (multiplicity 4)  6 Ho 3.22-3.31, 2 Pm 3.27
Tl (0.0000, 0.5000, 0.2247) (multiplicity 4)  2 Ho 3.12, 6 Pm 3.29-3.31

***

(3)
This record from Alexandria via LeMat-Bulk describes Pr3Ge2Au5 after structural relaxation. The functional is GGA-PBE.

## Properties
**Energy of formation from the pure elements**: -515 meV/atom

Unit cell a=10.5675 b=14.6397 c=6.2768 alpha=90.00 beta=90.00 gamma=90.00
Closest atoms and distances in Å follow each position.
Space group Ibam (No. 72)
Inequivalent atoms, fractional coordinates:
Pr (0.0000, 0.0000, 0.2500) (multiplicity 4)  4 Ge 3.00, 2 Au 3.09, 2 Pr 3.14
Pr (0.2056, 0.3442, 0.0000) (multiplicity 8)  7 Au 3.19-3.52, 3 Ge 3.23-3.44
Ge (0.1690, 0.1250, 0.0000) (multiplicity 8)  3 Au 2.50-2.69
Au (0.0000, 0.2108, 0.2500) (multiplicity 8)  2 Ge 2.69, 2 Au 2.82
Au (0.0000, 0.5000, 0.2500) (multiplicity 4)  6 Au 2.83-3.14
Au (0.0960, 0.3552, 0.5000) (multiplicity 8)  1 Ge 2.50

***

(4)
This record from Alexandria via LeMat-Bulk describes Al3PtN after structural relaxation. The functional is GGA-PBE.

## Properties
**Formation energy from raw total energies**: 2.98 eV/f.u.
**Relative energy among the computed polymorphs**: 1141 meV/atom

Unit cell a=4.7264 b=4.7264 c=4.7264 alpha=90.00 beta=90.00 gamma=90.00
Closest atoms and distances in Å follow each position.
Space group Pm-3m (No. 221)
Inequivalent atoms, fractional coordinates:
Al (0.0000, 0.0000, 0.5000) (multiplicity 3)  2 Pt 2.36
Pt (0.0000, 0.0000, 0.0000) (multiplicity 1)  6 Al 2.36
N (0.5000, 0.5000, 0.5000) (multiplicity 1)  12 Al 3.34

***

(5)
This record from Alexandria via LeMat-Bulk describes BiPd3 after structural relaxation. The functional is GGA-PBE.

## Properties
**Energy of formation from the pure elements**: -253 meV/atom

Unit cell a=9.5547 b=5.8609 c=5.0849 alpha=90.00 beta=90.00 gamma=90.00
Closest atoms and distances in Å follow each position.
Space group Pmma (No. 51)
Inequivalent atoms, fractional coordinates:
Bi (0.0000, 0.0000, 0.0000) (multiplicity 2)  12 Pd 2.92-2.99
Bi (0.2500, 0.5000, 0.3506) (multiplicity 2)  12 Pd 2.89-2.98
Pd (0.0000, 0.2508, 0.5000) (multiplicity 4)  4 Bi 2.90-2.94, 8 Pd 2.90-2.95
Pd (0.0000, 0.5000, 0.0000) (multiplicity 2)  8 Pd 2.92-2.93, 4 Bi 2.93-2.98
Pd (0.2500, 0.0000, 0.3539) (multiplicity 2)  8 Pd 2.88-3.00, 4 Bi 2.93-2.99
Pd (0.2500, 0.2507, 0.8401) (multiplicity 4)  8 Pd 2.88-3.00, 4 Bi 2.89-2.98

***

(6)
This record from Alexandria via LeMat-Bulk describes Li2TbCd after structural relaxation. The functional is GGA-PBE.

## Properties
**Energy of formation from the pure elements**: 20 meV/atom
**Relative energy among the computed polymorphs**: 97 meV/atom

Unit cell a=4.5252 b=4.5252 c=4.6590 alpha=90.00 beta=90.00 gamma=90.00
Closest atoms and distances in Å follow each position.
Space group P4/mmm (No. 123)
Inequivalent atoms, fractional coordinates:
Li (0.0000, 0.5000, 0.0000) (multiplicity 2)  4 Li 3.20, 4 Cd 3.25, 4 Tb 3.25
Tb (0.0000, 0.0000, 0.5000) (multiplicity 1)  4 Cd 3.20, 8 Li 3.25
Cd (0.5000, 0.5000, 0.5000) (multiplicity 1)  4 Tb 3.20, 8 Li 3.25

***

(7)
This record from Alexandria via LeMat-Bulk describes Cr2PSe after structural relaxation. The functional is GGA-PBE.

## Properties
**Formation energy from raw total energies**: 0.13 eV/f.u.
**Relative energy among the computed polymorphs**: 274 meV/atom

Unit cell a=5.9107 b=5.9107 c=5.9107 alpha=90.00 beta=90.00 gamma=90.00
Closest atoms and distances in Å follow each position.
Space group Fm-3m (No. 225)
Inequivalent atoms, fractional coordinates:
Cr (0.2500, 0.2500, 0.2500) (multiplicity 8)  4 Se 2.56, 4 P 2.56
P (0.0000, 0.0000, 0.0000) (multiplicity 4)  8 Cr 2.56
Se (0.0000, 0.0000, 0.5000) (multiplicity 4)  8 Cr 2.56

***

(8)
This record from Alexandria via LeMat-Bulk describes Cs2NaTiSe4 after structural relaxation. The functional is GGA-PBE.

## Properties
**Formation energy from raw total energies**: -8.39 eV/f.u.

Unit cell a=6.7327 b=14.9815 c=23.8582 alpha=90.00 beta=90.00 gamma=90.00
Closest atoms and distances in Å follow each position.
Space group Fddd (No. 70, origin choice 2)
Inequivalent atoms, fractional coordinates:
Cs (0.1250, 0.1250, 0.3056) (multiplicity 16)  6 Se 3.82-3.83
Na (0.1250, 0.1250, 0.1250) (multiplicity 8)  4 Se 2.82
Ti (0.1250, 0.1250, 0.6250) (multiplicity 8)  4 Se 2.41
Se (0.0774, 0.2791, 0.8174) (multiplicity 32)  1 Ti 2.41

***

| no. | size of the total moment (μB/cell) | total DFT energy (no corrections) (eV per atom) |
| --- | --- | --- |
| 1 | 0.0 | -3.116 |
| 2 | 0.0 | -4.078 |
| 3 | 0.0 | -4.511 |
| 4 | 2.0 | -4.522 |
| 5 | 0.0 | -5.118 |
| 6 | 0.0 | -2.324 |
| 7 | 8.7 | -7.004 |
| 8 | 0.0 | -4.157 |